CaZrCr2 after structural relaxation. Source: the Alexandria database, functional PBE.

formation energy: 0.564 eV per atom
space group: P2/m (10)

Cell: 3.2457 4.1631 6.4548 Å, 90.00 93.23 90.00°
Last column: nearest neighbours and their distance in Å.
Positions (direct):
Ca (0.0000, 0.0000, 0.0000)  2 Zr 3.23, 2 Ca 3.25, 8 Cr 3.40-3.55
Zr (0.0000, 0.0000, 0.5000)  8 Cr 2.80-2.82
Cr (0.4888, 0.5000, 0.3498)  1 Cr 1.94
Cr (0.5112, 0.5000, 0.6502)  1 Cr 1.94

***

Ca2ZrCr after structural relaxation. Source: the Alexandria database, functional PBE.

energy relative to the lowest polymorph listed for this composition: 0.000 eV/atom
formation energy: 0.333 eV per atom
space group: Pmm2 (25)

Cell: 3.4682 3.6164 8.8494 Å, 90.00 90.00 90.00°
Last column: nearest neighbours and their distance in Å.
Positions (direct):
Ca (0.0000, 0.0000, 0.0000)  4 Ca 3.47-3.62, 4 Zr 3.52, 1 Cr 3.66
Ca (0.5000, 0.5000, 0.3483)  4 Cr 3.27, 1 Zr 3.30, 4 Ca 3.47-3.62
Zr (0.5000, 0.5000, 0.7213)  4 Cr 2.78
Cr (0.0000, 0.0000, 0.5859)  4 Zr 2.78

***

CaZrCr2 after structural relaxation. Source: the Alexandria database, functional PBE.

formation energy: 0.507 eV per atom
space group: P4/mmm (123)

Cell: 3.3711 3.3711 7.4252 Å, 90.00 90.00 90.00°
Last column: nearest neighbours and their distance in Å.
Positions (direct):
Ca (0.0000, 0.0000, 0.0000)  8 Cr 3.21, 4 Ca 3.37
Zr (0.0000, 0.0000, 0.5000)  8 Cr 2.85
Cr (0.5000, 0.5000, 0.2900)  4 Zr 2.85, 1 Cr 3.12
Cr (0.5000, 0.5000, 0.7100)  4 Zr 2.85, 1 Cr 3.12

***

Number 1: calculated volume 21.8 Å³ per atom. Number 2: calculated volume 27.7 Å³ per atom. Number 3: calculated volume 21.1 Å³ per atom.